This record from Alexandria describes a relaxed structure of PrThInAg. The functional is GGA-PBE.

Cell: 5.4246 5.4246 5.4246 Å, 60.00 60.00 60.00°
Fractional positions:
Pr: 0.0000 0.0000 0.0000
Th: 0.5000 0.5000 0.5000
In: 0.7500 0.7500 0.7500
Ag: 0.2500 0.2500 0.2500

Calculated values
Energy of formation = -0.214 eV/atom
Space group = F-43m (216)
V = 28.2 Å³/atom

=====

This record from Alexandria describes a relaxed structure of PrTh2In2Ag2. The functional is GGA-PBE.

Cell: 9.5251 9.5251 9.5251 Å, 29.83 29.83 29.83°
Fractional positions:
Pr: 0.0000 0.0000 0.0000
Th: 0.1312 0.1312 0.1312
Th: 0.8688 0.8688 0.8688
In: 0.2645 0.2645 0.2645
In: 0.7355 0.7355 0.7355
Ag: 0.4055 0.4055 0.4055
Ag: 0.5945 0.5945 0.5945

Calculated values
Energy of formation = -0.151 eV/atom
Space group = R-3m (166)
V = 27.1 Å³/atom

=====

This record from Alexandria describes a relaxed structure of Pr4Tl2InAg. The functional is GGA-PBE.

Cell: 9.5863 9.5863 9.5863 Å, 33.32 33.32 33.32°
Fractional positions:
Pr: 0.1221 0.1221 0.1221
Pr: 0.3723 0.3723 0.3723
Pr: 0.6277 0.6277 0.6277
Pr: 0.8779 0.8779 0.8779
Tl: 0.2494 0.2494 0.2494
Tl: 0.7506 0.7506 0.7506
In: 0.5000 0.5000 0.5000
Ag: 0.0000 0.0000 0.0000

Calculated values
Energy of formation = -0.367 eV/atom
Space group = R-3m (166)
V = 29.6 Å³/atom

=====

This record from Alexandria describes a relaxed structure of Pr2TmIn2Ag2. The functional is GGA-PBE.

Cell: 9.6047 9.6047 9.6047 Å, 29.27 29.27 29.27°
Fractional positions:
Pr: 0.1252 0.1252 0.1252
Pr: 0.8748 0.8748 0.8748
Tm: 0.0000 0.0000 0.0000
In: 0.2661 0.2661 0.2661
In: 0.7339 0.7339 0.7339
Ag: 0.3875 0.3875 0.3875
Ag: 0.6125 0.6125 0.6125

Calculated values
Energy of formation = -0.291 eV/atom
Space group = R-3m (166)
V = 26.8 Å³/atom

=====

This record from Alexandria describes a relaxed structure of PrTm2In2Ag2. The functional is GGA-PBE.

Cell: 9.1764 9.1764 9.1764 Å, 30.90 30.90 30.90°
Fractional positions:
Pr: 0.0000 0.0000 0.0000
Tm: 0.1315 0.1315 0.1315
Tm: 0.8685 0.8685 0.8685
In: 0.2586 0.2586 0.2586
In: 0.7414 0.7414 0.7414
Ag: 0.4268 0.4268 0.4268
Ag: 0.5732 0.5732 0.5732

Calculated values
Energy of formation = -0.286 eV/atom
Space group = R-3m (166)
V = 25.8 Å³/atom

=====

This record from Alexandria describes a relaxed structure of Pr2YIn2Ag2. The functional is GGA-PBE.

Cell: 9.6113 9.6113 9.6113 Å, 29.38 29.38 29.38°
Fractional positions:
Pr: 0.1258 0.1258 0.1258
Pr: 0.8742 0.8742 0.8742
Y: 0.0000 0.0000 0.0000
In: 0.2655 0.2655 0.2655
In: 0.7345 0.7345 0.7345
Ag: 0.3906 0.3906 0.3906
Ag: 0.6094 0.6094 0.6094

Calculated values
Energy of formation = -0.309 eV/atom
Space group = R-3m (166)
V = 27.0 Å³/atom